# 1
Here is Li2Ag5Pd2 after structural relaxation from Alexandria. Energies are from PBE.

Lattice parameters (Å, degrees): 4.952 6.351 7.577 40.61 84.15 75.39
Fractional positions:
1 Li 0.678 0.668 0.675
2 Li 0.322 0.332 0.325
3 Ag 0.222 0.562 0.556
4 Ag 0.555 0.880 0.888
5 Ag 0.445 0.120 0.112
6 Ag 0.778 0.438 0.444
7 Ag 0.000 0.000 0.000
8 Pd 0.111 0.782 0.774
9 Pd 0.889 0.218 0.226

Output
DOS(E_F) in states/eV/atom: 0.33
Total moment in μB per formula unit: 0.0
ΔE to the lowest computed polymorph in meV/atom: 0
Formation energy from the elements in eV per atom: -0.164



# 2
Here is LiAgPd2 after structural relaxation from Alexandria. Energies are from PBE.

Lattice parameters (Å, degrees): 5.587 5.587 5.587 119.71 90.22 120.03
Fractional positions:
1 Li 0.155 0.499 0.155
2 Li 0.655 0.501 0.656
3 Ag 0.655 0.000 0.655
4 Ag 0.155 0.500 0.655
5 Pd 0.655 0.000 0.155
6 Pd 0.155 0.000 0.656
7 Pd 0.155 0.000 0.155
8 Pd 0.655 0.500 0.155

Output
DOS(E_F) in states/eV/atom: 0.70
Total moment in μB per formula unit: 0.0
ΔE to the lowest computed polymorph in meV/atom: 2
Formation energy from the elements in eV per atom: -0.239



# 3
Here is Li4AgPd4 after structural relaxation from Alexandria. Energies are from PBE.

Lattice parameters (Å, degrees): 3.942 6.136 6.136 84.08 71.27 71.27
Fractional positions:
1 Li 0.327 0.346 0.000
2 Li 0.673 0.654 0.000
3 Li 0.673 0.000 0.654
4 Li 0.327 0.000 0.346
5 Ag 0.000 0.000 0.000
6 Pd 0.000 0.670 0.330
7 Pd 0.000 0.330 0.670
8 Pd 0.670 0.330 0.330
9 Pd 0.330 0.670 0.670

Output
DOS(E_F) in states/eV/atom: 0.37
Total moment in μB per formula unit: 0.0
ΔE to the lowest computed polymorph in meV/atom: 0
Formation energy from the elements in eV per atom: -0.331



# 4
Here is Li3Ag8Pd2 after structural relaxation from Alexandria. Energies are from PBE.

Lattice parameters (Å, degrees): 5.378 5.378 10.330 74.91 74.91 60.00
Fractional positions:
1 Li 0.000 0.000 0.000
2 Li 0.815 0.815 0.554
3 Li 0.185 0.185 0.446
4 Ag 0.727 0.727 0.818
5 Ag 0.273 0.273 0.182
6 Ag 0.225 0.727 0.320
7 Ag 0.727 0.225 0.320
8 Ag 0.727 0.727 0.320
9 Ag 0.273 0.775 0.680
10 Ag 0.775 0.273 0.680
11 Ag 0.273 0.273 0.680
12 Pd 0.637 0.637 0.088
13 Pd 0.363 0.363 0.912

Output
DOS(E_F) in states/eV/atom: 0.23
Total moment in μB per formula unit: 0.0
Formation energy from the elements in eV per atom: 0.044



# 5
Here is Li2Ag3Pd2 after structural relaxation from Alexandria. Energies are from PBE.

Lattice parameters (Å, degrees): 5.417 5.113 9.676 90.00 56.88 90.00
Fractional positions:
1 Li 0.250 0.594 0.000
2 Li 0.750 0.094 0.500
3 Li 0.750 0.406 0.000
4 Li 0.250 0.906 0.500
5 Ag 0.427 0.722 0.694
6 Ag 0.573 0.222 0.806
7 Ag 0.573 0.278 0.306
8 Ag 0.427 0.778 0.194
9 Ag 0.000 0.000 0.000
10 Ag 0.000 0.500 0.500
11 Pd 0.167 0.250 0.704
12 Pd 0.833 0.750 0.796
13 Pd 0.833 0.750 0.296
14 Pd 0.167 0.250 0.204

Output
DOS(E_F) in states/eV/atom: 0.25
Total moment in μB per formula unit: 0.0
ΔE to the lowest computed polymorph in meV/atom: 54
Formation energy from the elements in eV per atom: -0.157



# 6
Here is Li12AgPd2 after structural relaxation from Alexandria. Energies are from PBE.

Lattice parameters (Å, degrees): 5.175 5.175 21.751 90.00 90.00 64.09
Fractional positions:
1 Li 0.500 0.500 0.799
2 Li 0.000 0.000 0.799
3 Li 0.739 0.761 0.854
4 Li 0.191 0.691 0.938
5 Li 0.000 0.000 0.309
6 Li 0.309 0.809 0.062
7 Li 0.811 0.311 0.557
8 Li 0.500 0.500 0.309
9 Li 0.261 0.239 0.854
10 Li 0.761 0.739 0.146
11 Li 0.266 0.234 0.636
12 Li 0.689 0.189 0.443
13 Li 0.000 0.000 0.691
14 Li 0.234 0.266 0.364
15 Li 0.239 0.261 0.146
16 Li 0.766 0.734 0.364
17 Li 0.734 0.766 0.636
18 Li 0.000 0.000 0.201
19 Li 0.189 0.689 0.557
20 Li 0.500 0.500 0.691
21 Li 0.809 0.309 0.938
22 Li 0.500 0.500 0.201
23 Li 0.311 0.811 0.443
24 Li 0.691 0.191 0.062
25 Ag 0.500 0.000 0.964
26 Ag 0.000 0.500 0.036
27 Pd 0.500 0.000 0.255
28 Pd 0.000 0.500 0.255
29 Pd 0.000 0.500 0.745
30 Pd 0.500 0.000 0.745

Output
DOS(E_F) in states/eV/atom: 0.32
Total moment in μB per formula unit: 0.0
Formation energy from the elements in eV per atom: -0.109